Entry 1:
Material: PuPaSnSb
Method: DFT, PBE
State: optimized geometry

Its crystal system is cubic. The uncorrected formation energy comes out at -0.295 eV per atom.

The space group is F-43m (No. 216) and the conventional cell measures 7.5073, 7.5073 and 7.5073 Å, with angles of 90.00, 90.00 and 90.00 degrees. The distinct sites, in fractional coordinates, are Pu at (0.0000, 0.0000, 0.0000), Pa at (0.0000, 0.0000, 0.5000), Sn at (0.2500, 0.2500, 0.7500) and Sb at (0.2500, 0.2500, 0.2500).

=====

Entry 2:
Material: CdHg2W
Method: DFT, PBE
State: optimized geometry

Its crystal system is monoclinic. As for the final energy: -0.1109 hartree per atom.

The space group is Cm (No. 8) and the conventional cell measures 11.1858, 2.9503 and 5.3794 Å, with angles of 90.00, 117.20 and 90.00 degrees. The distinct sites, in fractional coordinates, are Cd at (0.0000, 0.0000, 0.0000), Hg at (0.2417, 0.0000, 0.9158), Hg at (0.4810, 0.0000, 0.4793) and W at (0.2383, 0.5000, 0.4340).

=====

Entry 3:
Material: LiAcLaAs
Method: DFT, PBE
State: optimized geometry

Its crystal system is cubic. As for the final energy: -0.1605 hartree per atom.

The space group is F-43m (No. 216) and the conventional cell measures 7.6412, 7.6412 and 7.6412 Å, with angles of 90.00, 90.00 and 90.00 degrees. The distinct sites, in fractional coordinates, are Li at (0.0000, 0.0000, 0.0000), Ac at (0.2500, 0.2500, 0.7500), La at (0.2500, 0.2500, 0.2500) and As at (0.0000, 0.0000, 0.5000).

=====

Entry 4:
Material: LaHSe2
Method: DFT, PBE
State: optimized geometry

Its crystal system is trigonal. As for the final energy: -0.1836 hartree per atom.

The space group is R-3m (No. 166, hexagonal axes) and the conventional cell measures 4.5539, 4.5539 and 19.5490 Å, with angles of 90.00, 90.00 and 120.00 degrees. The distinct sites, in fractional coordinates, are La at (0.0000, 0.0000, 0.0000), H at (0.0000, 0.0000, 0.5000) and Se at (0.0000, 0.0000, 0.4102).